# 1
Compound: CaNiTeI2
Source: the Alexandria database
Functional: PBE-GGA
Structure: optimized geometry

ΔE_f (raw) = 226 meV/atom
ΔE to the lowest computed polymorph = 3.35 eV/f.u.

```
data_CaNiTeI2
_symmetry_space_group_name_H-M 'P 1'
_symmetry_Int_Tables_number 1
_cell_length_a 5.877
_cell_length_b 5.877
_cell_length_c 6.008
_cell_angle_alpha 90.00
_cell_angle_beta 90.00
_cell_angle_gamma 90.00
loop_
_symmetry_equiv_pos_as_xyz
'x,y,z'
loop_
_atom_site_label
_atom_site_fract_x
_atom_site_fract_y
_atom_site_fract_z
Ca1 0.000 0.000 0.000
Ni1 0.500 0.500 0.500
Te1 0.000 0.000 0.500
I1 0.000 0.500 0.000
I2 0.500 0.000 0.000
```

=====

# 2
Compound: Li4SnPt
Source: the Alexandria database
Functional: PBE-GGA
Structure: optimized geometry

energy relative to the elements = -0.3802 eV per atom
ΔE to the lowest computed polymorph = 0.69 eV/f.u.

```
data_Li4SnPt
_symmetry_space_group_name_H-M 'P 1'
_symmetry_Int_Tables_number 1
_cell_length_a 7.051
_cell_length_b 7.051
_cell_length_c 4.928
_cell_angle_alpha 101.58
_cell_angle_beta 101.58
_cell_angle_gamma 59.93
loop_
_symmetry_equiv_pos_as_xyz
'x,y,z'
loop_
_atom_site_label
_atom_site_fract_x
_atom_site_fract_y
_atom_site_fract_z
Li1 0.068 0.680 0.416
Li2 0.198 0.802 0.000
Li3 0.320 0.932 0.584
Li4 0.338 0.338 0.704
Li5 0.662 0.662 0.296
Li6 0.680 0.068 0.416
Li7 0.802 0.198 0.000
Li8 0.932 0.320 0.584
Sn1 0.216 0.216 0.122
Sn2 0.784 0.784 0.878
Pt1 0.445 0.445 0.230
Pt2 0.555 0.555 0.770
```

=====

# 3
Compound: ZrCr2As
Source: the Alexandria database
Functional: PBE-GGA
Structure: optimized geometry

energy relative to the elements = -0.0458 eV per atom

```
data_ZrCr2As
_symmetry_space_group_name_H-M 'P 1'
_symmetry_Int_Tables_number 1
_cell_length_a 4.652
_cell_length_b 4.652
_cell_length_c 4.559
_cell_angle_alpha 103.20
_cell_angle_beta 103.20
_cell_angle_gamma 40.44
loop_
_symmetry_equiv_pos_as_xyz
'x,y,z'
loop_
_atom_site_label
_atom_site_fract_x
_atom_site_fract_y
_atom_site_fract_z
Zr1 0.000 0.000 0.000
Cr1 0.235 0.235 0.675
Cr2 0.765 0.765 0.325
As1 0.500 0.500 0.500
```

=====

# 4
Compound: InOsRh2
Source: the Alexandria database
Functional: PBE-GGA
Structure: optimized geometry

energy relative to the elements = 0.2185 eV per atom

```
data_InOsRh2
_symmetry_space_group_name_H-M 'P 1'
_symmetry_Int_Tables_number 1
_cell_length_a 4.027
_cell_length_b 4.027
_cell_length_c 3.853
_cell_angle_alpha 90.00
_cell_angle_beta 90.00
_cell_angle_gamma 90.00
loop_
_symmetry_equiv_pos_as_xyz
'x,y,z'
loop_
_atom_site_label
_atom_site_fract_x
_atom_site_fract_y
_atom_site_fract_z
In1 0.000 0.000 0.000
Os1 0.500 0.500 0.000
Rh1 0.000 0.500 0.500
Rh2 0.500 0.000 0.500
```

=====

# 5
Compound: YCd2Si
Source: the Alexandria database
Functional: PBE-GGA
Structure: optimized geometry

ΔE_f (raw) = -213 meV/atom

```
data_YCd2Si
_symmetry_space_group_name_H-M 'P 1'
_symmetry_Int_Tables_number 1
_cell_length_a 3.445
_cell_length_b 4.269
_cell_length_c 6.366
_cell_angle_alpha 90.00
_cell_angle_beta 105.52
_cell_angle_gamma 90.00
loop_
_symmetry_equiv_pos_as_xyz
'x,y,z'
loop_
_atom_site_label
_atom_site_fract_x
_atom_site_fract_y
_atom_site_fract_z
Y1 0.000 0.000 0.000
Cd1 0.269 0.000 0.536
Cd2 0.660 0.500 0.321
Si1 0.421 0.500 0.841
```

=====

# 6
Compound: CoSnIrRh
Source: the Alexandria database
Functional: PBE-GGA
Structure: optimized geometry

energy relative to the elements = -0.0296 eV per atom

```
data_CoSnIrRh
_symmetry_space_group_name_H-M 'P 1'
_symmetry_Int_Tables_number 1
_cell_length_a 4.406
_cell_length_b 4.406
_cell_length_c 4.406
_cell_angle_alpha 60.00
_cell_angle_beta 60.00
_cell_angle_gamma 60.00
loop_
_symmetry_equiv_pos_as_xyz
'x,y,z'
loop_
_atom_site_label
_atom_site_fract_x
_atom_site_fract_y
_atom_site_fract_z
Co1 0.000 0.000 0.000
Sn1 0.500 0.500 0.500
Ir1 0.750 0.750 0.750
Rh1 0.250 0.250 0.250
```

=====

# 7
Compound: Ba2CdGe4Au3
Source: the Alexandria database
Functional: PBE-GGA
Structure: optimized geometry

energy relative to the elements = -0.4753 eV per atom

```
data_Ba2CdGe4Au3
_symmetry_space_group_name_H-M 'P 1'
_symmetry_Int_Tables_number 1
_cell_length_a 4.666
_cell_length_b 4.666
_cell_length_c 10.995
_cell_angle_alpha 90.00
_cell_angle_beta 90.00
_cell_angle_gamma 90.00
loop_
_symmetry_equiv_pos_as_xyz
'x,y,z'
loop_
_atom_site_label
_atom_site_fract_x
_atom_site_fract_y
_atom_site_fract_z
Ba1 0.000 0.500 0.247
Ba2 0.500 0.000 0.753
Cd1 0.000 0.000 0.500
Ge1 0.000 0.000 0.000
Ge2 0.000 0.500 0.638
Ge3 0.500 0.000 0.362
Ge4 0.500 0.500 0.000
Au1 0.000 0.500 0.878
Au2 0.500 0.000 0.122
Au3 0.500 0.500 0.500
```

=====

# 8
Compound: KCrIr2
Source: the Alexandria database
Functional: PBE-GGA
Structure: optimized geometry

energy relative to the elements = 0.4328 eV per atom
ΔE to the lowest computed polymorph = 0.41 eV/f.u.

```
data_KCrIr2
_symmetry_space_group_name_H-M 'P 1'
_symmetry_Int_Tables_number 1
_cell_length_a 9.952
_cell_length_b 9.952
_cell_length_c 9.952
_cell_angle_alpha 16.11
_cell_angle_beta 16.11
_cell_angle_gamma 16.11
loop_
_symmetry_equiv_pos_as_xyz
'x,y,z'
loop_
_atom_site_label
_atom_site_fract_x
_atom_site_fract_y
_atom_site_fract_z
K1 0.000 0.000 0.000
Cr1 0.500 0.500 0.500
Ir1 0.234 0.234 0.234
Ir2 0.766 0.766 0.766
```

=====

# 9
Compound: CuRe3Ir
Source: the Alexandria database
Functional: PBE-GGA
Structure: optimized geometry

energy relative to the elements = 1.9353 eV per atom
ΔE to the lowest computed polymorph = 0.00 eV/f.u.

```
data_CuRe3Ir
_symmetry_space_group_name_H-M 'P 1'
_symmetry_Int_Tables_number 1
_cell_length_a 4.370
_cell_length_b 4.370
_cell_length_c 4.370
_cell_angle_alpha 90.00
_cell_angle_beta 90.00
_cell_angle_gamma 90.00
loop_
_symmetry_equiv_pos_as_xyz
'x,y,z'
loop_
_atom_site_label
_atom_site_fract_x
_atom_site_fract_y
_atom_site_fract_z
Cu1 0.000 0.000 0.000
Re1 0.000 0.000 0.500
Re2 0.000 0.500 0.000
Re3 0.500 0.000 0.000
Ir1 0.500 0.500 0.500
```

=====

# 10
Compound: CaYIn2
Source: the Alexandria database
Functional: PBE-GGA
Structure: optimized geometry

energy relative to the elements = -0.3111 eV per atom

```
data_CaYIn2
_symmetry_space_group_name_H-M 'P 1'
_symmetry_Int_Tables_number 1
_cell_length_a 6.274
_cell_length_b 6.274
_cell_length_c 6.274
_cell_angle_alpha 137.05
_cell_angle_beta 137.05
_cell_angle_gamma 62.36
loop_
_symmetry_equiv_pos_as_xyz
'x,y,z'
loop_
_atom_site_label
_atom_site_fract_x
_atom_site_fract_y
_atom_site_fract_z
Ca1 0.000 0.000 0.000
Y1 0.750 0.250 0.500
In1 0.250 0.750 0.500
In2 0.500 0.500 0.000
```

=====

# 11
Compound: NdDy3Ru2
Source: the Alexandria database
Functional: PBE-GGA
Structure: optimized geometry

energy relative to the elements = -0.2776 eV per atom

```
data_NdDy3Ru2
_symmetry_space_group_name_H-M 'P 1'
_symmetry_Int_Tables_number 1
_cell_length_a 3.423
_cell_length_b 3.423
_cell_length_c 12.505
_cell_angle_alpha 90.00
_cell_angle_beta 90.00
_cell_angle_gamma 90.00
loop_
_symmetry_equiv_pos_as_xyz
'x,y,z'
loop_
_atom_site_label
_atom_site_fract_x
_atom_site_fract_y
_atom_site_fract_z
Nd1 0.000 0.000 0.000
Dy1 0.500 0.500 0.232
Dy2 0.500 0.500 0.500
Dy3 0.500 0.500 0.768
Ru1 0.000 0.000 0.358
Ru2 0.000 0.000 0.642
```

=====

# 12
Compound: Li2TmGeO4
Source: the Alexandria database
Functional: PBE-GGA
Structure: optimized geometry

ΔE_f (raw) = -2210 meV/atom

```
data_Li2TmGeO4
_symmetry_space_group_name_H-M 'P 1'
_symmetry_Int_Tables_number 1
_cell_length_a 5.629
_cell_length_b 5.629
_cell_length_c 5.629
_cell_angle_alpha 134.60
_cell_angle_beta 134.60
_cell_angle_gamma 66.15
loop_
_symmetry_equiv_pos_as_xyz
'x,y,z'
loop_
_atom_site_label
_atom_site_fract_x
_atom_site_fract_y
_atom_site_fract_z
Li1 0.000 0.000 0.000
Li2 0.750 0.250 0.500
Tm1 0.250 0.750 0.500
Ge1 0.500 0.500 0.000
O1 0.008 0.508 0.500
O2 0.275 0.275 0.000
O3 0.492 0.992 0.500
O4 0.725 0.725 0.000
```

=====

Computed values of total magnetic moment (unit: μB/cell) for the preceding records, in sequence: 2.0 0.0 0.0 0.0 0.0 2.3 0.0 0.0 0.0 0.0 0.0 0.0.
Computed values of DOS at the Fermi energy (unit: states/eV/cell) for the preceding records, in sequence: 7.78 3.75 3.10 5.79 1.21 6.56 5.22 5.63 3.42 4.99 4.66 1.77.